The following is a GGA-PBE calculation of a relaxed structure of Ba2CuPbW, from Alexandria.

Cell and atoms, written as extended XYZ:
```
5
Lattice="-2.9238 3.1126 4.2274 2.6947 -2.6327 3.8023 4.2903 4.2053 -0.1289" Properties=species:S:1:pos:R:3 pbc="T T T"
Pb 1.3474 -1.3164 1.9011
Ba 2.1452 2.1026 -0.0645
Ba -1.4619 1.5563 2.1137
Cu 2.0306 2.3426 3.9504
W 0.0000 0.0000 0.0000
```

## Properties
Formation energy from the elements ... 0.862 eV per atom
Crystal system ... tetragonal